Compound: NaMoP2O
Source: Alexandria
Functional: PBE with a Hubbard U
Structure: optimized geometry

Cell lengths 4.722, 4.722, 3.861 Å; angles 90.00, 90.00, 90.00 degrees
Fractional positions:
Na 0.000 0.000 0.000
Mo 0.500 0.500 0.500
P 0.000 0.500 0.000
P 0.500 0.000 0.000
O 0.000 0.000 0.500

E_tot in eV per cell: -16.57
E above lowest polymorph in meV/atom: 1659.8
Magnetization in μB per formula unit: 1.2